Entry 1:
Computed, not measured: crystalline Be3In at its relaxed geometry at the PBE level of DFT.

Geometry as CIF:
```
data_Be3In
_cell_length_a 5.5832
_cell_length_b 5.5832
_cell_length_c 3.7419
_cell_angle_alpha 90.00
_cell_angle_beta 90.00
_cell_angle_gamma 120.00
_space_group_name_H-M_alt 'P 63/m m c'
_space_group_IT_number 194
_space_group_name_Hall '-P 6c 2c'
loop_
_atom_site_label
_atom_site_type_symbol
_atom_site_fract_x
_atom_site_fract_y
_atom_site_fract_z
Be1 Be 0.1309 0.2618 0.2500
In1 In 0.3333 0.6667 0.7500
```

Computed properties:
- calculated formation energy (eV/atom) = 0.40
- crystal system = hexagonal
- excess energy over the best structure of this formula in the dataset (meV per atom) = 168.3


Entry 2:
Computed, not measured: crystalline Ce2CuP4Rh3 at its relaxed geometry at the PBE level of DFT.

Geometry as CIF:
```
data_Ce2CuP4Rh3
_cell_length_a 4.1931
_cell_length_b 4.1931
_cell_length_c 9.3918
_cell_angle_alpha 90.00
_cell_angle_beta 90.00
_cell_angle_gamma 90.00
_space_group_name_H-M_alt 'P -4 m 2'
_space_group_IT_number 115
loop_
_space_group_symop_operation_xyz
'x,y,z'
'y,-x,-z'
'-x,-y,z'
'-y,x,-z'
'-x,y,z'
'-y,-x,-z'
'x,-y,z'
'y,x,-z'
loop_
_atom_site_label
_atom_site_type_symbol
_atom_site_fract_x
_atom_site_fract_y
_atom_site_fract_z
Ce1 Ce 0.0000 0.5000 0.2463
Cu1 Cu 0.0000 0.0000 0.5000
P1 P 0.0000 0.0000 0.0000
P2 P 0.0000 0.5000 0.6341
P3 P 0.5000 0.5000 0.0000
Rh1 Rh 0.0000 0.5000 0.8877
Rh2 Rh 0.5000 0.5000 0.5000
```

Computed properties:
- calculated formation energy (eV/atom) = -1.02
- crystal system = tetragonal


Entry 3:
Computed, not measured: crystalline KPuSiO4 at its relaxed geometry at the PBE level of DFT.

Geometry as CIF:
```
data_KPuSiO4
_cell_length_a 5.7929
_cell_length_b 5.7190
_cell_length_c 7.3725
_cell_angle_alpha 90.00
_cell_angle_beta 104.80
_cell_angle_gamma 90.00
_space_group_name_H-M_alt 'P 1 21/m 1'
_space_group_IT_number 11
loop_
_space_group_symop_operation_xyz
'x,y,z'
'-x,-y,-z'
'-x,y+1/2,-z'
'x,-y+1/2,z'
loop_
_atom_site_label
_atom_site_type_symbol
_atom_site_fract_x
_atom_site_fract_y
_atom_site_fract_z
K1 K 0.1840 0.2500 0.4188
Pu1 Pu 0.2823 0.2500 0.9481
Si1 Si 0.2504 0.7500 0.1678
O1 O 0.0711 0.7500 0.3069
O2 O 0.0765 0.7500 0.9510
O3 O 0.4356 0.5239 0.1896
```

Computed properties:
- energy relative to the elements, uncorrected (kJ/mol of formula units) = -1767
- crystal system = monoclinic


Entry 4:
Computed, not measured: crystalline TbDyYMg at its relaxed geometry at the PBE level of DFT.

Geometry as CIF:
```
data_TbDyYMg
_cell_length_a 3.5356
_cell_length_b 3.4724
_cell_length_c 19.9000
_cell_angle_alpha 90.00
_cell_angle_beta 90.00
_cell_angle_gamma 90.00
_space_group_name_H-M_alt 'A m m 2'
_space_group_IT_number 38
loop_
_space_group_symop_operation_xyz
'x,y,z'
'-x,-y,z'
'-x,y,z'
'x,-y,z'
'x,y+1/2,z+1/2'
'-x,-y+1/2,z+1/2'
'-x,y+1/2,z+1/2'
'x,-y+1/2,z+1/2'
loop_
_atom_site_label
_atom_site_type_symbol
_atom_site_fract_x
_atom_site_fract_y
_atom_site_fract_z
Tb1 Tb 0.0000 0.0000 0.0000
Dy1 Dy 0.5000 0.0000 0.3764
Y1 Y 0.0000 0.0000 0.2248
Mg1 Mg 0.5000 0.0000 0.6137
```

Computed properties:
- calculated formation energy (eV/atom) = 0.09
- crystal system = orthorhombic
- excess energy over the best structure of this formula in the dataset (meV per atom) = 41.8


Entry 5:
Computed, not measured: crystalline Be2BiPb2O6 at its relaxed geometry at the PBE level of DFT.

Geometry as CIF:
```
data_Be2BiPb2O6
_cell_length_a 5.2774
_cell_length_b 5.2774
_cell_length_c 7.9558
_cell_angle_alpha 90.00
_cell_angle_beta 90.00
_cell_angle_gamma 120.00
_space_group_name_H-M_alt 'P -3'
_space_group_IT_number 147
loop_
_space_group_symop_operation_xyz
'x,y,z'
'-x,-y,-z'
'-y,x-y,z'
'y,-x+y,-z'
'-x+y,-x,z'
'x-y,x,-z'
loop_
_atom_site_label
_atom_site_type_symbol
_atom_site_fract_x
_atom_site_fract_y
_atom_site_fract_z
Be1 Be 0.3333 0.6667 0.3364
Bi1 Bi 0.0000 0.0000 0.5000
Pb1 Pb 0.3333 0.6667 0.8185
O1 O 0.0439 0.6756 0.3292
```

Computed properties:
- energy relative to the elements, uncorrected (kJ/mol of formula units) = -1674
- crystal system = trigonal


Entry 6:
Computed, not measured: crystalline LaNdHoS3 at its relaxed geometry at the PBE level of DFT.

Geometry as CIF:
```
data_LaNdHoS3
_cell_length_a 6.9616
_cell_length_b 3.9444
_cell_length_c 10.5785
_cell_angle_alpha 90.00
_cell_angle_beta 102.48
_cell_angle_gamma 90.00
_space_group_name_H-M_alt 'P 1 21/m 1'
_space_group_IT_number 11
loop_
_space_group_symop_operation_xyz
'x,y,z'
'-x,-y,-z'
'-x,y+1/2,-z'
'x,-y+1/2,z'
loop_
_atom_site_label
_atom_site_type_symbol
_atom_site_fract_x
_atom_site_fract_y
_atom_site_fract_z
La1 La 0.1505 0.2500 0.1967
Nd1 Nd 0.3737 0.2500 0.8662
Ho1 Ho 0.2677 0.7500 0.5552
S1 S 0.0461 0.2500 0.6521
S2 S 0.2188 0.7500 0.0062
S3 S 0.4493 0.7500 0.3507
```

Computed properties:
- energy relative to the elements, uncorrected (kJ/mol of formula units) = -1139
- crystal system = monoclinic


Entry 7:
Computed, not measured: crystalline LiTcAg3 at its relaxed geometry at the PBE level of DFT.

Geometry as CIF:
```
data_LiTcAg3
_cell_length_a 5.1742
_cell_length_b 5.1742
_cell_length_c 5.1742
_cell_angle_alpha 90.00
_cell_angle_beta 90.00
_cell_angle_gamma 90.00
_space_group_name_H-M_alt 'P m -3 m'
_space_group_IT_number 221
_space_group_name_Hall '-P 4 2 3'
loop_
_atom_site_label
_atom_site_type_symbol
_atom_site_fract_x
_atom_site_fract_y
_atom_site_fract_z
Li1 Li 0.0000 0.0000 0.0000
Tc1 Tc 0.5000 0.5000 0.5000
Ag1 Ag 0.0000 0.5000 0.5000
```

Computed properties:
- calculated formation energy (eV/atom) = 1.12
- crystal system = cubic


Entry 8:
Computed, not measured: crystalline PrSmAgRh at its relaxed geometry at the PBE level of DFT.

Geometry as CIF:
```
data_PrSmAgRh
_cell_length_a 7.2688
_cell_length_b 7.2688
_cell_length_c 7.2688
_cell_angle_alpha 90.00
_cell_angle_beta 90.00
_cell_angle_gamma 90.00
_space_group_name_H-M_alt 'F -4 3 m'
_space_group_IT_number 216
_space_group_name_Hall 'F -4 2 3'
loop_
_atom_site_label
_atom_site_type_symbol
_atom_site_fract_x
_atom_site_fract_y
_atom_site_fract_z
Pr1 Pr 0.0000 0.0000 0.0000
Sm1 Sm 0.0000 0.0000 0.5000
Ag1 Ag 0.2500 0.2500 0.7500
Rh1 Rh 0.2500 0.2500 0.2500
```

Computed properties:
- calculated formation energy (eV/atom) = -0.44
- crystal system = cubic


Entry 9:
Computed, not measured: crystalline Mn2InTcC at its relaxed geometry at the PBE level of DFT.

Geometry as CIF:
```
data_Mn2InTcC
_cell_length_a 4.0529
_cell_length_b 4.0529
_cell_length_c 4.1110
_cell_angle_alpha 90.00
_cell_angle_beta 90.00
_cell_angle_gamma 90.00
_space_group_name_H-M_alt 'P 4/m m m'
_space_group_IT_number 123
_space_group_name_Hall '-P 4 2'
loop_
_atom_site_label
_atom_site_type_symbol
_atom_site_fract_x
_atom_site_fract_y
_atom_site_fract_z
Mn1 Mn 0.0000 0.5000 0.0000
In1 In 0.0000 0.0000 0.5000
Tc1 Tc 0.5000 0.5000 0.5000
C1 C 0.5000 0.5000 0.0000
```

Computed properties:
- calculated formation energy (eV/atom) = 0.04
- crystal system = tetragonal


Entry 10:
Computed, not measured: crystalline ScCr2CoCu at its relaxed geometry at the PBE level of DFT.

Geometry as CIF:
```
data_ScCr2CoCu
_cell_length_a 4.3215
_cell_length_b 4.3215
_cell_length_c 4.3101
_cell_angle_alpha 90.00
_cell_angle_beta 90.00
_cell_angle_gamma 90.00
_space_group_name_H-M_alt 'P 4/m m m'
_space_group_IT_number 123
_space_group_name_Hall '-P 4 2'
loop_
_atom_site_label
_atom_site_type_symbol
_atom_site_fract_x
_atom_site_fract_y
_atom_site_fract_z
Sc1 Sc 0.0000 0.0000 0.0000
Cr1 Cr 0.0000 0.5000 0.0000
Co1 Co 0.0000 0.0000 0.5000
Cu1 Cu 0.5000 0.5000 0.5000
```

Computed properties:
- calculated formation energy (eV/atom) = 1.89
- crystal system = tetragonal


Entry 11:
Computed, not measured: crystalline Y5Mo at its relaxed geometry at the PBE level of DFT.

Geometry as CIF:
```
data_Y5Mo
_cell_length_a 6.0207
_cell_length_b 6.0207
_cell_length_c 16.0382
_cell_angle_alpha 90.00
_cell_angle_beta 90.00
_cell_angle_gamma 120.00
_space_group_name_H-M_alt 'R 3 2'
_space_group_IT_number 155
_space_group_name_Hall 'R 3 2"'
loop_
_atom_site_label
_atom_site_type_symbol
_atom_site_fract_x
_atom_site_fract_y
_atom_site_fract_z
Y1 Y 0.0000 0.0000 0.1572
Y2 Y 0.0000 0.3684 0.0000
Mo1 Mo 0.0000 0.0000 0.5000
```

Computed properties:
- calculated formation energy (eV/atom) = 0.28
- crystal system = trigonal
- excess energy over the best structure of this formula in the dataset (meV per atom) = 94.4


Record-wise calculated total energy values, in eV per atom: -3.079 -6.986 -8.429 -4.230 -5.986 -6.409 -3.045 -5.369 -8.097 -5.467 -6.912